Computed, not measured: a relaxed Zn2Ga8Cu crystal at the PBE level of DFT.

energy above the most stable polymorph in this dataset: 0 meV/atom

Lattice parameters (Å, degrees): 4.205 4.205 11.039 90.00 90.00 90.00
Space group P4/mmm (No. 123)
Symmetry-distinct sites (fractional):
Zn  0.000  0.000  0.176
Ga  0.000  0.500  0.000
Ga  0.000  0.500  0.366
Ga  0.500  0.500  0.188
Cu  0.000  0.000  0.500

Computed, not measured: a relaxed ZnGaCu crystal at the PBE level of DFT.

energy above the most stable polymorph in this dataset: 129 meV/atom

Lattice parameters (Å, degrees): 4.4618 4.4618 2.6091 90.00 90.00 120.00
Space group P3m1 (No. 156)
Symmetry-distinct sites (fractional):
Zn  0.0000  0.0000  0.0000
Ga  0.3333  0.6667  0.3946
Cu  0.6667  0.3333  0.5726

Computed, not measured: a relaxed ZrGa3Cu crystal at the PBE level of DFT.

energy above the most stable polymorph in this dataset: 1103 meV/atom

Lattice parameters (Å, degrees): 5.196 5.196 5.196 90.00 90.00 90.00
Space group Pm-3m (No. 221)
Symmetry-distinct sites (fractional):
Zr  0.000  0.000  0.000
Ga  0.000  0.000  0.500
Cu  0.500  0.500  0.500

Computed, not measured: a relaxed ZrGaCu2 crystal at the PBE level of DFT.

Lattice parameters (Å, degrees): 2.759 4.783 10.383 90.00 90.00 90.00
Space group Immm (No. 71)
Symmetry-distinct sites (fractional):
Zr  0.000  0.000  0.000
Ga  0.000  0.000  0.500
Cu  0.000  0.000  0.265

Computed, not measured: a relaxed ZrGa2Cu2 crystal at the PBE level of DFT.

Lattice parameters (Å, degrees): 3.876 3.876 10.524 90.00 90.00 90.00
Space group I4/mmm (No. 139)
Symmetry-distinct sites (fractional):
Zr  0.000  0.000  0.000
Ga  0.000  0.000  0.387
Cu  0.000  0.500  0.250

Computed, not measured: a relaxed Zr2Ga2Cu crystal at the PBE level of DFT.

energy above the most stable polymorph in this dataset: 51 meV/atom

Lattice parameters (Å, degrees): 6.506 6.506 4.243 90.00 90.00 90.00
Space group P4/mbm (No. 127)
Symmetry-distinct sites (fractional):
Zr  0.168  0.332  0.000
Ga  0.139  0.639  0.500
Cu  0.000  0.000  0.500

Computed, not measured: a relaxed ZrGa3Cu2 crystal at the PBE level of DFT.

Lattice parameters (Å, degrees): 3.947 12.058 3.955 90.00 90.00 90.00
Space group Cmmm (No. 65)
Symmetry-distinct sites (fractional):
Zr  0.000  0.000  0.000
Ga  0.000  0.171  0.500
Ga  0.000  0.500  0.500
Cu  0.000  0.316  0.000

Computed, not measured: a relaxed ZrGa3Cu crystal at the PBE level of DFT.

energy above the most stable polymorph in this dataset: 0 meV/atom

Lattice parameters (Å, degrees): 3.923 6.566 6.710 90.00 90.00 90.00
Space group Pmmn (No. 59, origin choice 2)
Symmetry-distinct sites (fractional):
Zr  0.250  0.250  0.190
Ga  0.250  0.053  0.692
Ga  0.250  0.750  0.106
Cu  0.250  0.750  0.479

Computed, not measured: a relaxed ZrGa3Cu crystal at the PBE level of DFT.

energy above the most stable polymorph in this dataset: 410 meV/atom

Lattice parameters (Å, degrees): 4.573 4.573 4.573 90.00 90.00 90.00
Space group Pm-3m (No. 221)
Symmetry-distinct sites (fractional):
Zr  0.000  0.000  0.000
Ga  0.000  0.500  0.500
Cu  0.500  0.500  0.500

Computed, not measured: a relaxed Zr3Ga4Cu2 crystal at the PBE level of DFT.

Lattice parameters (Å, degrees): 9.886 4.235 8.034 90.00 113.29 90.00
Space group C2/m (No. 12)
Symmetry-distinct sites (fractional):
Zr  0.000  0.000  0.000
Zr  0.152  0.500  0.676
Ga  0.075  0.000  0.399
Ga  0.214  0.500  0.059
Cu  0.145  0.500  0.313

Computed, not measured: a relaxed ZrGa6Cu crystal at the PBE level of DFT.

Lattice parameters (Å, degrees): 6.513 9.889 4.292 90.00 90.00 90.00
Space group Cmmm (No. 65)
Symmetry-distinct sites (fractional):
Zr  0.000  0.000  0.000
Ga  0.000  0.211  0.500
Ga  0.200  0.500  0.500
Ga  0.250  0.250  0.000
Cu  0.000  0.500  0.000

Computed, not measured: a relaxed Zr4GaCu crystal at the PBE level of DFT.

energy above the most stable polymorph in this dataset: 10 meV/atom

Lattice parameters (Å, degrees): 6.796 6.796 5.184 90.00 90.00 90.00
Space group P4/mcc (No. 124)
Symmetry-distinct sites (fractional):
Zr  0.152  0.343  0.000
Ga  0.500  0.500  0.250
Cu  0.000  0.000  0.250

Number 1: magnetization 0.000 μB/f.u., ΔH_f (0 K) 0.0157 eV/atom. Number 2: magnetization 0.000 μB/f.u., ΔH_f (0 K) 0.0697 eV/atom. Number 3: magnetization 0.000 μB/f.u., ΔH_f (0 K) 0.8963 eV/atom. Number 4: magnetization 0.000 μB/f.u., ΔH_f (0 K) 0.1975 eV/atom. Number 5: magnetization 0.000 μB/f.u., ΔH_f (0 K) -0.3073 eV/atom. Number 6: magnetization 0.000 μB/f.u., ΔH_f (0 K) -0.4689 eV/atom. Number 7: magnetization 0.000 μB/f.u., ΔH_f (0 K) -0.2841 eV/atom. Number 8: magnetization 0.000 μB/f.u., ΔH_f (0 K) -0.2067 eV/atom. Number 9: magnetization 0.000 μB/f.u., ΔH_f (0 K) 0.2031 eV/atom. Number 10: magnetization 0.000 μB/f.u., ΔH_f (0 K) -0.4986 eV/atom. Number 11: magnetization 0.000 μB/f.u., ΔH_f (0 K) -0.1743 eV/atom. Number 12: magnetization 0.000 μB/f.u., ΔH_f (0 K) -0.2696 eV/atom.